1.
A plane-wave DFT calculation with PBE was carried out for an optimized crystal structure of MnCo2Cl. Values from VASP.

```
&SYSTEM
  ibrav = 0, nat = 8, ntyp = 3
/
ATOMIC_SPECIES
Mn 54.94 Mn.upf
Co 58.93 Co.upf
Cl 35.45 Cl.upf
ATOMIC_POSITIONS angstrom
Mn 0.000 0.000 0.000
Mn 1.734 1.734 4.702
Co 0.000 1.734 2.351
Co 0.000 1.734 7.053
Co 1.734 0.000 2.351
Co 1.734 0.000 7.053
Cl 0.000 0.000 4.702
Cl 1.734 1.734 0.000
CELL_PARAMETERS angstrom
3.469 0.000 0.000
0.000 3.469 0.000
0.000 0.000 9.405
```

The calculation puts the relative energy among the computed polymorphs at 0.452 eV/atom.

***

2.
A plane-wave DFT calculation with PBE was carried out for an optimized crystal structure of MnCoCl4. Values from VASP.

```
&SYSTEM
  ibrav = 0, nat = 12, ntyp = 3
/
ATOMIC_SPECIES
Mn 54.94 Mn.upf
Co 58.93 Co.upf
Cl 35.45 Cl.upf
ATOMIC_POSITIONS angstrom
Mn 0.000 0.000 0.000
Mn 6.772 1.811 0.000
Co -0.845 1.811 3.028
Co 5.928 0.000 3.028
Cl 0.711 0.000 2.440
Cl -0.068 1.811 5.366
Cl 5.151 0.000 0.690
Cl 4.371 1.811 3.617
Cl 7.484 1.811 2.440
Cl 6.704 0.000 5.366
Cl 11.923 1.811 0.690
Cl 11.144 0.000 3.617
CELL_PARAMETERS angstrom
13.545 0.000 0.000
0.000 3.621 0.000
-1.690 0.000 6.057
```

The calculation puts the relative energy among the computed polymorphs at 0.000 eV/atom.

***

3.
A plane-wave DFT calculation with PBE was carried out for an optimized crystal structure of MnCo2Cl6. Values from VASP.

```
&SYSTEM
  ibrav = 0, nat = 9, ntyp = 3
/
ATOMIC_SPECIES
Mn 54.94 Mn.upf
Co 58.93 Co.upf
Cl 35.45 Cl.upf
ATOMIC_POSITIONS angstrom
Mn 0.000 0.000 0.000
Co 3.213 0.000 2.678
Co 7.582 0.000 7.605
Cl 1.036 0.000 2.193
Cl 1.002 0.000 6.407
Cl 4.482 0.000 0.762
Cl 6.314 0.000 9.522
Cl 9.794 0.000 3.876
Cl 9.760 0.000 8.090
CELL_PARAMETERS angstrom
6.080 -1.856 0.000
6.080 1.856 0.000
-1.364 0.000 10.283
```

***

4.
A plane-wave DFT calculation with PBE was carried out for an optimized crystal structure of MnCo2Cl. Values from VASP.

```
&SYSTEM
  ibrav = 0, nat = 4, ntyp = 3
/
ATOMIC_SPECIES
Mn 54.94 Mn.upf
Co 58.93 Co.upf
Cl 35.45 Cl.upf
ATOMIC_POSITIONS angstrom
Mn 0.000 0.000 0.000
Co 1.498 1.442 1.293
Co 1.490 1.442 5.115
Cl 1.494 0.000 3.204
CELL_PARAMETERS angstrom
2.996 0.000 0.000
0.000 2.884 0.000
-0.008 0.000 6.408
```

The calculation puts the relative energy among the computed polymorphs at 0.129 eV/atom.

***

5.
A plane-wave DFT calculation with PBE was carried out for an optimized crystal structure of MnCoCl3. Values from VASP.

```
&SYSTEM
  ibrav = 0, nat = 5, ntyp = 3
/
ATOMIC_SPECIES
Mn 54.94 Mn.upf
Co 58.93 Co.upf
Cl 35.45 Cl.upf
ATOMIC_POSITIONS angstrom
Mn 0.000 0.000 0.000
Co 2.463 2.463 2.463
Cl 0.000 0.000 2.463
Cl 0.000 2.463 0.000
Cl 2.463 0.000 0.000
CELL_PARAMETERS angstrom
4.927 0.000 0.000
0.000 4.927 0.000
0.000 0.000 4.927
```

The calculation puts the relative energy among the computed polymorphs at 0.056 eV/atom.

***

6.
A plane-wave DFT calculation with PBE was carried out for an optimized crystal structure of MnCoCl2. Values from VASP.

```
&SYSTEM
  ibrav = 0, nat = 16, ntyp = 3
/
ATOMIC_SPECIES
Mn 54.94 Mn.upf
Co 58.93 Co.upf
Cl 35.45 Cl.upf
ATOMIC_POSITIONS angstrom
Mn 0.000 0.000 0.000
Mn 0.000 2.577 2.513
Mn 2.577 0.000 7.540
Mn 2.577 2.577 5.027
Co 0.000 0.000 5.027
Co 0.000 2.577 7.540
Co 2.577 0.000 2.513
Co 2.577 2.577 0.000
Cl 1.266 1.288 1.257
Cl 1.288 3.843 3.770
Cl 1.288 3.888 8.797
Cl 1.311 1.288 6.283
Cl 3.843 3.865 6.283
Cl 3.865 1.266 8.797
Cl 3.865 1.311 3.770
Cl 3.888 3.865 1.257
CELL_PARAMETERS angstrom
5.154 0.000 0.000
0.000 5.154 0.000
0.000 0.000 10.054
```

The calculation puts the relative energy among the computed polymorphs at 0.693 eV/atom.

***

Values of total energy, in order: -5.725, -4.744, -4.544, -6.048, -4.370, -4.601, all in eV per atom.
Values of DOS at the Fermi energy, in order: 0.89, 0.30, 0.08, 1.57, 4.76, 1.73, all in states/eV/atom.